Computed, not measured: a relaxed Dy2InOs crystal at the PBE level of DFT.

Cell: 3.4269 3.4269 8.0284 Å, 90.00 90.00 90.00°
With the nearest neighbours (Å) after each atom.
Fractional coordinates of all 4 atoms:
1 Dy 0.0000 0.0000 0.2060  4 Os 2.93
2 Dy 0.0000 0.0000 0.7940  4 Os 2.93
3 In 0.5000 0.5000 0.5000  8 Dy 3.38, 4 In 3.43
4 Os 0.5000 0.5000 0.0000  8 Dy 2.93

Results
The total magnetic moment comes out at 0.0 μB per formula unit. The value obtained for the distance to the lowest polymorph of the same formula is 0.0 kJ per mole of atoms. The total energy comes out at -6.16 eV per atom. The calculated formation energy is -35.0 kJ/mol of atoms.

Computed, not measured: a relaxed BaLi2Ac2Ge2 crystal at the PBE level of DFT.

Cell: 11.5111 11.5111 11.5111 Å, 23.74 23.74 23.74°
With the nearest neighbours (Å) after each atom.
Fractional coordinates of all 7 atoms:
1 Ba 0.0000 0.0000 0.0000  6 Li 3.52, 6 Ge 3.68
2 Li 0.3992 0.3992 0.3992  3 Ge 2.75
3 Li 0.6008 0.6008 0.6008  3 Ge 2.75
4 Ac 0.1233 0.1233 0.1233  3 Ge 3.21, 3 Li 3.35
5 Ac 0.8767 0.8767 0.8767  3 Ge 3.21, 3 Li 3.35
6 Ge 0.2600 0.2600 0.2600  3 Li 2.75
7 Ge 0.7400 0.7400 0.7400  3 Li 2.75

Results
The total magnetic moment comes out at 0.0 μB per formula unit. The total energy comes out at -3.72 eV per atom. The calculated formation energy is -39.5 kJ/mol of atoms.

Computed, not measured: a relaxed MgAu3Cl crystal at the PBE level of DFT.

Cell: 5.0153 5.0153 5.0153 Å, 90.00 90.00 90.00°
With the nearest neighbours (Å) after each atom.
Fractional coordinates of all 5 atoms:
1 Mg 0.0000 0.0000 0.0000  6 Au 2.51
2 Au 0.0000 0.0000 0.5000  2 Mg 2.51
3 Au 0.0000 0.5000 0.0000  2 Mg 2.51
4 Au 0.5000 0.0000 0.0000  2 Mg 2.51
5 Cl 0.5000 0.5000 0.5000  12 Au 3.55

Results
The total magnetic moment comes out at 0.0 μB per formula unit. The value obtained for the distance to the lowest polymorph of the same formula is 0.0 kJ per mole of atoms. Its formation energy without anion corrections is 0.52 eV per atom. The total energy comes out at -2.14 eV per atom.